First-principles (PBE with a Hubbard U) data for an optimized crystal structure of PmFe2BiO6, as listed in Alexandria.

**Crystal system**: triclinic
**Total DFT energy (no corrections)**: -0.49760 Ry/atom
**V**: 122.92 Å³/cell
**Magnetic moment**: 8.00 μB/f.u.

abc: 5.515 5.535 5.538
angles: 118.93 90.42 118.91
Space group P1 (No. 1)
Unique sites:
Pm 0.000 0.000 0.000 [1 per cell]
Fe 0.228 0.498 0.731 [1 per cell]
Fe 0.728 0.488 0.222 [1 per cell]
Bi 0.509 0.954 0.457 [1 per cell]
O 0.044 0.602 0.055 [1 per cell]
O 0.416 0.444 0.413 [1 per cell]
O 0.435 0.984 0.890 [1 per cell]
O 0.559 0.613 0.018 [1 per cell]
O 0.900 0.378 0.430 [1 per cell]
O 0.957 0.014 0.588 [1 per cell]